Compound: BeRe3
Source: the Alexandria database
Functional: GGA-PBE
Structure: optimized geometry

a = 2.8042 Å, b = 4.3035 Å, c = 4.6024 Å
α = 90.00°, β = 90.00°, γ = 90.00°
Fractional coordinates of all 4 atoms:
1 Be 0.0000 0.0000 0.9889
2 Re 0.0000 0.5000 0.3239
3 Re 0.5000 0.0000 0.5097
4 Re 0.5000 0.5000 0.8442

Values from the calculation:
Its energy above the most stable polymorph in this dataset is 0.67 eV per formula unit. For the formation energy, the calculation gives 0.11 eV per atom. The total energy comes out at -10.162 eV/atom. For the size of the total moment, the calculation gives 0.002 μB per cell.

=====

Compound: K3In4Au2
Source: the Alexandria database
Functional: GGA-PBE
Structure: optimized geometry

a = 4.7917 Å, b = 6.5855 Å, c = 10.1254 Å
α = 69.20°, β = 76.31°, γ = 68.67°
Fractional coordinates of all 9 atoms:
1 Au 0.4135 0.9128 0.2601
2 In 0.7449 0.6027 0.9075
3 K 0.6984 0.2258 0.3773
4 K 0.0000 0.0000 0.0000
5 In 0.0040 0.6477 0.3444
6 K 0.3016 0.7742 0.6227
7 Au 0.5865 0.0872 0.7399
8 In 0.9960 0.3523 0.6556
9 In 0.2551 0.3973 0.0925

Values from the calculation:
Its energy above the most stable polymorph in this dataset is 0.26 eV per formula unit. For the formation energy, the calculation gives -0.18 eV per atom. The total energy comes out at -2.489 eV/atom. For the size of the total moment, the calculation gives 0.000 μB per cell.

=====

Compound: Cs3Tc2F8
Source: the Alexandria database
Functional: GGA-PBE
Structure: optimized geometry

a = 6.9031 Å, b = 6.9031 Å, c = 8.2896 Å
α = 65.39°, β = 65.39°, γ = 60.00°
Fractional coordinates of all 13 atoms:
1 F 0.2718 0.2718 0.6776
2 Cs 0.0000 0.0000 0.0000
3 F 0.2718 0.7788 0.6776
4 F 0.7282 0.7282 0.3224
5 F 0.3510 0.3510 0.9471
6 F 0.2212 0.7282 0.3224
7 Cs 0.2226 0.2226 0.3321
8 Tc 0.5495 0.5495 0.3515
9 Cs 0.7774 0.7774 0.6679
10 F 0.7282 0.2212 0.3224
11 F 0.6490 0.6490 0.0529
12 F 0.7788 0.2718 0.6776
13 Tc 0.4505 0.4505 0.6485

Values from the calculation:
The total energy comes out at -5.048 eV/atom. The calculation puts the uncorrected formation energy at -2.105 eV/atom. For the size of the total moment, the calculation gives 3.000 μB per cell.

=====

Compound: Hf2NbNiGe
Source: the Alexandria database
Functional: GGA-PBE
Structure: optimized geometry

a = 4.7674 Å, b = 4.5964 Å, c = 4.7674 Å
α = 90.00°, β = 90.00°, γ = 90.00°
Fractional coordinates of all 5 atoms:
1 Ge 0.5000 0.5000 0.5000
2 Hf 0.0000 0.0000 0.5000
3 Hf 0.5000 0.0000 0.0000
4 Nb 0.0000 0.5000 0.0000
5 Ni 0.0000 0.0000 0.0000

Values from the calculation:
For the formation energy, the calculation gives 0.31 eV per atom. The total energy comes out at -7.768 eV/atom. For the size of the total moment, the calculation gives 0.004 μB per cell.

=====

Compound: Ga2NiHg2
Source: the Alexandria database
Functional: GGA-PBE
Structure: optimized geometry

a = 6.4687 Å, b = 6.4687 Å, c = 5.6853 Å
α = 90.00°, β = 90.00°, γ = 90.00°
Fractional coordinates of all 10 atoms:
1 Hg 0.8184 0.3184 0.5000
2 Hg 0.1816 0.6816 0.5000
3 Ni 0.0000 0.0000 0.0000
4 Ni 0.5000 0.5000 0.0000
5 Hg 0.3184 0.1816 0.5000
6 Ga 0.7561 0.2561 0.0000
7 Ga 0.7439 0.7561 0.0000
8 Ga 0.2439 0.7439 0.0000
9 Hg 0.6816 0.8184 0.5000
10 Ga 0.2561 0.2439 0.0000

Values from the calculation:
Its energy above the most stable polymorph in this dataset is 0.00 eV per formula unit. For the formation energy, the calculation gives 0.10 eV per atom. The total energy comes out at -2.390 eV/atom. For the size of the total moment, the calculation gives 0.000 μB per cell.

=====

Compound: KU2Cl11
Source: the Alexandria database
Functional: GGA-PBE
Structure: optimized geometry

a = 12.3666 Å, b = 11.2101 Å, c = 11.2101 Å
α = 67.24°, β = 56.52°, γ = 56.52°
Fractional coordinates of all 28 atoms:
1 Cl 0.3126 0.3718 0.8838
2 Cl 0.1330 0.0772 0.1771
3 Cl 0.8126 0.3838 0.8718
4 Cl 0.8670 0.9228 0.8229
5 Cl 0.9318 0.8718 0.3838
6 Cl 0.5682 0.1162 0.6282
7 Cl 0.3670 0.3229 0.4228
8 K 0.2500 0.2500 0.2500
9 Cl 0.5000 0.5000 0.5000
10 Cl 0.6330 0.6771 0.5772
11 U 0.8407 0.1531 0.8469
12 Cl 0.4318 0.8838 0.3718
13 Cl 0.0682 0.1282 0.6162
14 Cl 0.3874 0.8229 0.9228
15 Cl 0.0000 0.0000 0.0000
16 K 0.7500 0.7500 0.7500
17 U 0.3407 0.3469 0.6531
18 U 0.1593 0.8469 0.1531
19 Cl 0.3019 0.7089 0.2911
20 Cl 0.6981 0.2911 0.7089
21 Cl 0.1874 0.6162 0.1282
22 Cl 0.1981 0.2089 0.7911
23 U 0.6593 0.6531 0.3469
24 Cl 0.1126 0.5772 0.6771
25 Cl 0.8874 0.4228 0.3229
26 Cl 0.6874 0.6282 0.1162
27 Cl 0.8019 0.7911 0.2089
28 Cl 0.6126 0.1771 0.0772

Values from the calculation:
The total energy comes out at -4.824 eV/atom. The calculation puts the uncorrected formation energy at -1.682 eV/atom. For the size of the total moment, the calculation gives 4.000 μB per cell.